# PmNdEuDy (PBE, optimized geometry)
# Calculated density in g cm⁻³: 7.12
# Fermi-level density of states in states/eV/cell: 27.37
data_PmNdEuDy
_chemical_formula_sum 'Pm4 Nd4 Eu4 Dy4'
_cell_length_a 8.2567
_cell_length_b 8.2567
_cell_length_c 8.2567
_cell_angle_alpha 90.00
_cell_angle_beta 90.00
_cell_angle_gamma 90.00
_space_group_name_H-M_alt 'F -4 3 m'
_space_group_IT_number 216
_space_group_name_Hall 'F -4 2 3'
loop_
_atom_site_label
_atom_site_type_symbol
_atom_site_fract_x
_atom_site_fract_y
_atom_site_fract_z
Pm1 Pm 0.0000 0.0000 0.0000
Nd1 Nd 0.2500 0.2500 0.2500
Eu1 Eu 0.0000 0.0000 0.5000
Dy1 Dy 0.2500 0.2500 0.7500

***

# Pu6OsPd3 (PBE, optimized geometry)
# Calculated density in g cm⁻³: 17.64
# Fermi-level density of states in states/eV/cell: 41.76
data_Pu6OsPd3
_chemical_formula_sum 'Pu12 Os2 Pd6'
_cell_length_a 5.7121
_cell_length_b 5.7121
_cell_length_c 13.1514
_cell_angle_alpha 90.00
_cell_angle_beta 90.00
_cell_angle_gamma 120.00
_space_group_name_H-M_alt 'P 63 2 2'
_space_group_IT_number 182
_space_group_name_Hall 'P 6c 2c'
loop_
_atom_site_label
_atom_site_type_symbol
_atom_site_fract_x
_atom_site_fract_y
_atom_site_fract_z
Pu1 Pu 0.1363 0.3666 0.3358
Os1 Os 0.3333 0.6667 0.7500
Pd1 Pd 0.0000 0.0000 0.0000
Pd2 Pd 0.3333 0.6667 0.5419

***

# Tb3Pm4Ga4 (PBE, optimized geometry)
# Calculated density in g cm⁻³: 7.44
# Fermi-level density of states in states/eV/cell: 17.90
data_Tb3Pm4Ga4
_chemical_formula_sum 'Tb6 Pm8 Ga8'
_cell_length_a 3.5772
_cell_length_b 9.0850
_cell_length_c 18.3350
_cell_angle_alpha 90.00
_cell_angle_beta 90.00
_cell_angle_gamma 90.00
_space_group_name_H-M_alt 'I m m m'
_space_group_IT_number 71
_space_group_name_Hall '-I 2 2'
loop_
_atom_site_label
_atom_site_type_symbol
_atom_site_fract_x
_atom_site_fract_y
_atom_site_fract_z
Tb1 Tb 0.0000 0.0000 0.0000
Tb2 Tb 0.0000 0.5000 0.0935
Pm1 Pm 0.0000 0.3221 0.3338
Ga1 Ga 0.0000 0.0000 0.2765
Ga2 Ga 0.0000 0.2234 0.5000

***

Asked for total energy across the records above, the calculation gives -95.14, -219.42, -99.08 eV/cell in order.